Entry 1:
A relaxed SrSiTc2 crystal. Source: Alexandria via LeMat-Bulk, functional PBE.

Lattice parameters (Å, degrees): 2.981 2.981 8.581 90.00 90.00 110.26
Sites, in units of the cell vectors:
1 Sr 0.500 0.500 0.750
2 Tc 0.000 0.000 0.444
3 Tc 0.000 0.000 0.056
4 Si 0.500 0.500 0.250

Summary:
- Density of states at the Fermi level: 0.9520 states/eV per atom
- Energy: -6.4846 eV per atom
- Formation energy (no corrections): 0.475 eV/atom
- V: 17.88 A^3/atom

***

Entry 2:
A relaxed TcAs2Br crystal. Source: Alexandria via LeMat-Bulk, functional PBE.

Lattice parameters (Å, degrees): 4.726 4.726 4.726 60.00 60.00 60.00
Site moments in Bohr magnetons follow the coordinates.
Sites, in units of the cell vectors:
1 Br 0.000 0.000 0.000  0.07
2 As 0.750 0.750 0.750  -0.08
3 As 0.250 0.250 0.250  -0.08
4 Tc 0.500 0.500 0.500  1.81

Summary:
- Density of states at the Fermi level: 0.6240 states/eV per atom
- Energy: -4.5104 eV per atom
- Formation energy (no corrections): 0.824 eV/atom
- Excess energy over the best structure of this formula in the dataset: 833.5 meV/atom
- V: 18.66 A^3/atom

***

Entry 3:
A relaxed Ac8Pd3SI4 crystal. Source: Alexandria via LeMat-Bulk, functional PBE.

Lattice parameters (Å, degrees): 8.894 9.930 8.901 116.64 119.97 90.00
Sites, in units of the cell vectors:
1 Ac 0.734 0.698 0.966
2 Ac 0.266 0.302 0.034
3 Ac 0.729 0.686 0.458
4 Ac 0.232 0.698 0.966
5 Ac 0.768 0.302 0.536
6 Ac 0.232 0.698 0.464
7 Ac 0.271 0.314 0.542
8 Ac 0.768 0.302 0.034
9 I 0.500 0.000 0.000
10 I 0.500 0.000 0.500
11 I 0.000 0.000 0.000
12 I 0.000 0.000 0.500
13 Pd 0.500 0.500 0.500
14 Pd 0.500 0.500 0.000
15 Pd 0.000 0.500 0.500
16 S 0.000 0.500 0.000

Summary:
- Density of states at the Fermi level: 0.8693 states/eV per atom
- Energy: -4.7331 eV per atom
- Formation energy (no corrections): -1.060 eV/atom
- V: 36.41 A^3/atom